# PBE PrNdTm2Tl4, optimized geometry
# Energy relative to the elements (meV/atom): -337
# E_tot (eV per cell): -91.960
data_PrNdTm2Tl4
_chemical_formula_sum 'Pr3 Nd3 Tm6 Tl12'
_space_group_name_H-M_alt 'R -3 m'
_space_group_IT_number 166
_space_group_name_Hall '-R 3 2"'
_cell_length_a 5.4267
_cell_length_b 5.4267
_cell_length_c 26.6701
_cell_angle_alpha 90.00
_cell_angle_beta 90.00
_cell_angle_gamma 120.00
loop_
_atom_site_label
_atom_site_type_symbol
_atom_site_fract_x
_atom_site_fract_y
_atom_site_fract_z
Pr1 Pr 0.0000 0.0000 0.0000
Nd1 Nd 0.0000 0.0000 0.5000
Tm1 Tm 0.0000 0.0000 0.2499
Tl1 Tl 0.0000 0.0000 0.1253
Tl2 Tl 0.0000 0.0000 0.3754